# 1
First-principles (PBE) data for a relaxed structure of VFeOs3, as listed in the Alexandria database.

* M_tot: 0.544 μB per atom
* E_form: 1.64 eV/atom
* DFT total energy: -8.619 eV/atom
* energy above the lowest structure with this stoichiometry: 0.000 eV/atom
* D(E_F): 7.1 states/eV/f.u.

Lattice parameters (Å, degrees): 4.3835 4.3835 4.3835 90.00 90.00 90.00
Space group Pm-3m (No. 221)
Symmetry-distinct sites (fractional):
V: 0.0000 0.0000 0.0000 x1
Fe: 0.5000 0.5000 0.5000 x1
Os: 0.0000 0.5000 0.5000 x3

---

# 2
First-principles (PBE) data for a relaxed structure of V6FeOs5, as listed in the Alexandria database.

* M_tot: 0.236 μB per atom
* E_form: -0.24 eV/atom
* DFT total energy: -10.186 eV/atom
* D(E_F): 12.8 states/eV/f.u.

Lattice parameters (Å, degrees): 4.2514 6.0014 6.7288 90.00 108.48 90.00
Space group P2/m (No. 10)
Symmetry-distinct sites (fractional):
V: 0.0000 0.2414 0.0000 x2
V: 0.3371 0.2458 0.6732 x4
Fe: 0.5000 0.0000 0.0000 x1
Os: 0.1660 0.0000 0.3328 x2
Os: 0.1675 0.5000 0.3356 x2
Os: 0.5000 0.5000 0.0000 x1

---

# 3
First-principles (PBE) data for a relaxed structure of V2FeOs2, as listed in the Alexandria database.

* M_tot: 0.492 μB per atom
* E_form: 0.14 eV/atom
* DFT total energy: -9.693 eV/atom
* D(E_F): 5.8 states/eV/f.u.

Lattice parameters (Å, degrees): 7.1222 7.1222 2.8670 90.00 90.00 90.00
Space group P4/mbm (No. 127)
Symmetry-distinct sites (fractional):
V: 0.1564 0.3436 0.0000 x4
Fe: 0.0000 0.0000 0.5000 x2
Os: 0.1433 0.6433 0.5000 x4

---

# 4
First-principles (PBE) data for a relaxed structure of V2FeOs, as listed in the Alexandria database.

* M_tot: 0.395 μB per atom
* E_form: -0.21 eV/atom
* DFT total energy: -9.688 eV/atom
* D(E_F): 4.2 states/eV/f.u.

Lattice parameters (Å, degrees): 4.1975 4.1975 2.9756 90.00 90.00 90.00
Space group P4/mmm (No. 123)
Symmetry-distinct sites (fractional):
V: 0.0000 0.5000 0.0000 x2
Fe: 0.0000 0.0000 0.5000 x1
Os: 0.5000 0.5000 0.5000 x1

---

# 5
First-principles (PBE) data for a relaxed structure of VFe3Os, as listed in the Alexandria database.

* M_tot: 1.042 μB per atom
* E_form: 1.34 eV/atom
* DFT total energy: -7.807 eV/atom
* energy above the lowest structure with this stoichiometry: 0.000 eV/atom
* D(E_F): 5.6 states/eV/f.u.

Lattice parameters (Å, degrees): 4.1332 4.1332 4.1332 90.00 90.00 90.00
Space group Pm-3m (No. 221)
Symmetry-distinct sites (fractional):
V: 0.0000 0.0000 0.0000 x1
Fe: 0.0000 0.0000 0.5000 x3
Os: 0.5000 0.5000 0.5000 x1

---

# 6
First-principles (PBE) data for a relaxed structure of VFeOs, as listed in the Alexandria database.

* M_tot: 0.000 μB per atom
* E_form: 0.09 eV/atom
* DFT total energy: -9.510 eV/atom
* energy above the lowest structure with this stoichiometry: 0.181 eV/atom
* D(E_F): 3.1 states/eV/f.u.

Lattice parameters (Å, degrees): 11.5148 11.5148 6.2122 90.00 90.00 120.00
Space group R-3 (No. 148, hexagonal axes)
Symmetry-distinct sites (fractional):
V: 0.0675 0.5805 0.1655 x18
Fe: 0.0388 0.2792 0.8368 x18
Os: 0.0159 0.1415 0.1801 x18

---

# 7
First-principles (PBE) data for a relaxed structure of V2FeOs, as listed in the Alexandria database.

* M_tot: 0.363 μB per atom
* E_form: 0.46 eV/atom
* DFT total energy: -9.026 eV/atom
* D(E_F): 5.7 states/eV/f.u.

Lattice parameters (Å, degrees): 6.6246 6.6246 5.0932 90.00 90.00 90.00
Space group I-42d (No. 122)
Symmetry-distinct sites (fractional):
V: 0.2406 0.2500 0.1250 x8
Fe: 0.0000 0.0000 0.0000 x4
Os: 0.0000 0.0000 0.5000 x4

---

# 8
First-principles (PBE) data for a relaxed structure of V6FeOs2, as listed in the Alexandria database.

* M_tot: 0.000 μB per atom
* E_form: 0.31 eV/atom
* DFT total energy: -9.202 eV/atom
* D(E_F): 8.9 states/eV/f.u.

Lattice parameters (Å, degrees): 4.1247 5.7436 11.9381 90.00 90.00 90.00
Space group Immm (No. 71)
Symmetry-distinct sites (fractional):
V: 0.0000 0.2313 0.0000 x4
V: 0.0000 0.2528 0.3405 x8
Fe: 0.0000 0.5000 0.5000 x2
Os: 0.0000 0.5000 0.1670 x4

---

# 9
First-principles (PBE) data for a relaxed structure of V3Fe2Os, as listed in the Alexandria database.

* M_tot: 0.335 μB per atom
* E_form: -0.17 eV/atom
* DFT total energy: -9.425 eV/atom
* energy above the lowest structure with this stoichiometry: 0.009 eV/atom
* D(E_F): 6.9 states/eV/f.u.

Lattice parameters (Å, degrees): 2.9468 2.9468 8.7121 90.00 90.00 90.00
Space group P4/mmm (No. 123)
Symmetry-distinct sites (fractional):
V: 0.0000 0.0000 0.0000 x1
V: 0.0000 0.0000 0.3198 x2
Fe: 0.5000 0.5000 0.1636 x2
Os: 0.5000 0.5000 0.5000 x1

---

# 10
First-principles (PBE) data for a relaxed structure of V2FeOs, as listed in the Alexandria database.

* M_tot: 0.000 μB per atom
* E_form: 0.52 eV/atom
* DFT total energy: -8.961 eV/atom
* D(E_F): 5.3 states/eV/f.u.

Lattice parameters (Å, degrees): 2.6292 4.4897 9.1664 90.00 90.00 90.00
Space group Immm (No. 71)
Symmetry-distinct sites (fractional):
V: 0.0000 0.0000 0.2344 x4
Fe: 0.0000 0.0000 0.0000 x2
Os: 0.0000 0.0000 0.5000 x2

---

# 11
First-principles (PBE) data for a relaxed structure of V2FeOs, as listed in the Alexandria database.

* M_tot: 0.000 μB per atom
* E_form: 0.00 eV/atom
* DFT total energy: -9.481 eV/atom
* D(E_F): 4.9 states/eV/f.u.

Lattice parameters (Å, degrees): 2.6994 18.6225 4.1315 90.00 90.00 90.00
Space group Cmcm (No. 63)
Symmetry-distinct sites (fractional):
V: 0.0000 0.0633 0.2500 x4
V: 0.0000 0.1582 0.7500 x4
Fe: 0.0000 0.4536 0.2500 x4
Os: 0.0000 0.2948 0.7500 x4

---

# 12
First-principles (PBE) data for a relaxed structure of V4Fe3Os2, as listed in the Alexandria database.

* M_tot: 0.595 μB per atom
* E_form: -0.17 eV/atom
* DFT total energy: -9.544 eV/atom
* D(E_F): 8.8 states/eV/f.u.

Lattice parameters (Å, degrees): 4.1664 4.1664 7.7197 90.00 90.00 120.00
Space group P-3m1 (No. 164)
Symmetry-distinct sites (fractional):
V: 0.0000 0.0000 0.1625 x2
V: 0.3333 0.6667 0.6092 x2
Fe: 0.0000 0.0000 0.5000 x1
Fe: 0.3333 0.6667 0.9418 x2
Os: 0.3333 0.6667 0.2787 x2

---

# 13
First-principles (PBE) data for a relaxed structure of Fe2OsW, as listed in the Alexandria database.

* M_tot: 1.248 μB per atom
* E_form: 0.11 eV/atom
* DFT total energy: -10.164 eV/atom
* D(E_F): 4.1 states/eV/f.u.

Lattice parameters (Å, degrees): 6.0335 6.0335 6.0335 90.00 90.00 90.00
Space group F-43m (No. 216)
Symmetry-distinct sites (fractional):
Fe: 0.0000 0.0000 0.0000 x4
Fe: 0.2500 0.2500 0.2500 x4
Os: 0.0000 0.0000 0.5000 x4
W: 0.2500 0.2500 0.7500 x4

---

# 14
First-principles (PBE) data for a relaxed structure of FeOsW, as listed in the Alexandria database.

* M_tot: 0.164 μB per atom
* E_form: 0.15 eV/atom
* DFT total energy: -10.734 eV/atom
* energy above the lowest structure with this stoichiometry: 0.013 eV/atom
* D(E_F): 3.4 states/eV/f.u.

Lattice parameters (Å, degrees): 2.7001 2.7001 11.2975 90.00 90.00 90.00
Space group I4mm (No. 107)
Symmetry-distinct sites (fractional):
Fe: 0.0000 0.0000 0.0000 x2
Os: 0.0000 0.0000 0.6474 x2
W: 0.0000 0.0000 0.3328 x2

---

# 15
First-principles (PBE) data for a relaxed structure of FeOs2W, as listed in the Alexandria database.

* M_tot: 0.434 μB per atom
* E_form: 0.15 eV/atom
* DFT total energy: -10.814 eV/atom
* energy above the lowest structure with this stoichiometry: 0.113 eV/atom
* D(E_F): 4.2 states/eV/f.u.

Lattice parameters (Å, degrees): 2.7478 2.7478 7.4573 90.00 90.00 90.00
Space group P4/mmm (No. 123)
Symmetry-distinct sites (fractional):
Fe: 0.0000 0.0000 0.0000 x1
Os: 0.5000 0.5000 0.2328 x2
W: 0.0000 0.0000 0.5000 x1

---

# 16
First-principles (PBE) data for a relaxed structure of Fe2OsW, as listed in the Alexandria database.

* M_tot: 0.402 μB per atom
* E_form: 0.15 eV/atom
* DFT total energy: -10.132 eV/atom
* D(E_F): 4.5 states/eV/f.u.

Lattice parameters (Å, degrees): 8.6795 2.6685 4.5753 90.00 99.81 90.00
Space group Cm (No. 8)
Symmetry-distinct sites (fractional):
Fe: 0.0000 0.0000 0.0000 x2
Fe: 0.2454 0.5000 0.2445 x2
Os: 0.2573 0.0000 0.7890 x2
W: 0.4988 0.0000 0.4909 x2

---

# 17
First-principles (PBE) data for a relaxed structure of FeOs2W, as listed in the Alexandria database.

* M_tot: 0.304 μB per atom
* E_form: 0.04 eV/atom
* DFT total energy: -10.927 eV/atom
* energy above the lowest structure with this stoichiometry: 0.000 eV/atom
* D(E_F): 3.7 states/eV/f.u.

Lattice parameters (Å, degrees): 3.8419 3.8419 3.7949 90.00 90.00 90.00
Space group P4/mmm (No. 123)
Symmetry-distinct sites (fractional):
Fe: 0.0000 0.0000 0.0000 x1
Os: 0.0000 0.5000 0.5000 x2
W: 0.5000 0.5000 0.0000 x1

---

# 18
First-principles (PBE) data for a relaxed structure of FeOs2W, as listed in the Alexandria database.

* M_tot: 0.344 μB per atom
* E_form: 0.22 eV/atom
* DFT total energy: -10.753 eV/atom
* energy above the lowest structure with this stoichiometry: 0.173 eV/atom
* D(E_F): 3.1 states/eV/f.u.

Lattice parameters (Å, degrees): 2.7274 2.7274 26.4561 90.00 90.00 120.00
Space group R3m (No. 160, hexagonal axes)
Symmetry-distinct sites (fractional):
Fe: 0.0000 0.0000 0.0000 x3
Os: 0.0000 0.0000 0.4964 x3
Os: 0.0000 0.0000 0.7438 x3
W: 0.0000 0.0000 0.2493 x3

---

# 19
First-principles (PBE) data for a relaxed structure of Fe2OsW, as listed in the Alexandria database.

* M_tot: 0.000 μB per atom
* E_form: 0.12 eV/atom
* DFT total energy: -10.155 eV/atom
* D(E_F): 4.0 states/eV/f.u.

Lattice parameters (Å, degrees): 5.3238 7.2164 2.6715 90.00 90.00 90.00
Space group Cmmm (No. 65)
Symmetry-distinct sites (fractional):
Fe: 0.2500 0.2500 0.0000 x4
Os: 0.0000 0.0000 0.5000 x2
W: 0.0000 0.5000 0.5000 x2

---

# 20
First-principles (PBE) data for a relaxed structure of FeOs2W, as listed in the Alexandria database.

* M_tot: 0.483 μB per atom
* E_form: 0.12 eV/atom
* DFT total energy: -10.853 eV/atom
* energy above the lowest structure with this stoichiometry: 0.073 eV/atom
* D(E_F): 3.9 states/eV/f.u.

Lattice parameters (Å, degrees): 2.7458 3.7795 5.4729 90.00 90.00 90.00
Space group Pmmm (No. 47)
Symmetry-distinct sites (fractional):
Fe: 0.0000 0.0000 0.0000 x1
Os: 0.5000 0.5000 0.2350 x2
W: 0.0000 0.0000 0.5000 x1